## P
HfRe2Os2 after structural relaxation, computed with GGA-PBE.

Structure (POSCAR):
```
HfRe2Os2
1.0
7.626 0.000 0.000
0.000 7.626 0.000
0.000 0.000 2.796
Hf Re Os
2 4 4
direct
0.000 0.000 0.000
0.500 0.500 0.000
0.171 0.329 0.500
0.329 0.829 0.500
0.671 0.171 0.500
0.829 0.671 0.500
0.124 0.624 0.000
0.376 0.124 0.000
0.624 0.876 0.000
0.876 0.376 0.000
```

## Properties
- Magnetization: 0.000 μB per atom
- SG: P4/mbm
- Density of states at the Fermi level: 6.25 states/eV/cell

## Q
HfRe2Os2 after structural relaxation, computed with GGA-PBE.

Structure (POSCAR):
```
HfRe2Os2
1.0
7.645 0.000 0.000
0.000 7.645 0.000
0.000 0.000 2.789
Hf Re Os
2 4 4
direct
0.000 0.000 0.000
0.500 0.500 0.000
0.122 0.378 0.000
0.378 0.878 0.000
0.622 0.122 0.000
0.878 0.622 0.000
0.172 0.672 0.500
0.328 0.172 0.500
0.672 0.828 0.500
0.828 0.328 0.500
```

## Properties
- Magnetization: 0.000 μB per atom
- SG: P4/mbm
- Density of states at the Fermi level: 6.76 states/eV/cell

Stability ranking, top entry: P; the second entry is 1.6 kJ/mol of atoms less favorable.